# K3PbS3 PBE-GGA optimized geometry
data_K3PbS3
_chemical_formula_sum 'K12 Pb4 S12'
_cell_length_a 8.8253
_cell_length_b 13.7850
_cell_length_c 7.8991
_cell_angle_alpha 90.00
_cell_angle_beta 98.32
_cell_angle_gamma 90.00
_symmetry_space_group_name_H-M 'C 1 2/m 1'
_symmetry_Int_Tables_number 12
loop_
_symmetry_equiv_pos_as_xyz
'x,y,z'
'-x,-y,-z'
'-x,y,-z'
'x,-y,z'
'x+1/2,y+1/2,z'
'-x+1/2,-y+1/2,-z'
'-x+1/2,y+1/2,-z'
'x+1/2,-y+1/2,z'
loop_
_atom_site_label
_atom_site_fract_x
_atom_site_fract_y
_atom_site_fract_z
_atom_site_occupancy
K1 0.0000 0.1784 0.0000 1
K2 0.0000 0.2388 0.5000 1
K3 0.1217 0.5000 0.8707 1
Pb1 0.1970 0.0000 0.6269 1
S1 0.0783 0.0000 0.2679 1
S2 0.1733 0.3481 0.2215 1
# **Electronic total energy**: -101.147 eV for the cell shown
# **Energy relative to the elements, uncorrected**: -0.843 eV per atom

# PrZn2GeRu2 PBE-GGA optimized geometry
data_PrZn2GeRu2
_chemical_formula_sum 'Pr1 Zn2 Ge1 Ru2'
_cell_length_a 4.5674
_cell_length_b 4.5674
_cell_length_c 5.7457
_cell_angle_alpha 90.00
_cell_angle_beta 90.00
_cell_angle_gamma 90.00
_symmetry_space_group_name_H-M 'P 4/m m m'
_symmetry_Int_Tables_number 123
_symmetry_space_group_name_Hall '-P 4 2'
loop_
_atom_site_label
_atom_site_fract_x
_atom_site_fract_y
_atom_site_fract_z
_atom_site_occupancy
Pr1 0.0000 0.0000 0.0000 1
Zn1 0.5000 0.5000 0.2417 1
Ge1 0.0000 0.0000 0.5000 1
Ru1 0.0000 0.5000 0.5000 1
# **Formation enthalpy at 0 K**: -0.47 eV/f.u.
# **Electronic total energy**: -30.962 eV for the cell shown

# ScSe2ClO PBE-GGA optimized geometry
data_ScSe2ClO
_chemical_formula_sum 'Sc1 Se2 Cl1 O1'
_cell_length_a 4.1453
_cell_length_b 4.1453
_cell_length_c 5.3921
_cell_angle_alpha 90.00
_cell_angle_beta 90.00
_cell_angle_gamma 90.00
_symmetry_space_group_name_H-M 'P 4/m m m'
_symmetry_Int_Tables_number 123
_symmetry_space_group_name_Hall '-P 4 2'
loop_
_atom_site_label
_atom_site_fract_x
_atom_site_fract_y
_atom_site_fract_z
_atom_site_occupancy
Sc1 0.0000 0.0000 0.0000 1
Se1 0.0000 0.5000 0.5000 1
Cl1 0.5000 0.5000 0.0000 1
O1 0.5000 0.5000 0.5000 1
# **Electronic total energy**: -22.170 eV for the cell shown
# **Energy relative to the elements, uncorrected**: -0.413 eV per atom

# ReMo2Ir2 PBE-GGA optimized geometry
data_ReMo2Ir2
_chemical_formula_sum 'Re2 Mo4 Ir4'
_cell_length_a 7.5243
_cell_length_b 7.5243
_cell_length_c 2.7728
_cell_angle_alpha 90.00
_cell_angle_beta 90.00
_cell_angle_gamma 90.00
_symmetry_space_group_name_H-M 'P 4/m b m'
_symmetry_Int_Tables_number 127
_symmetry_space_group_name_Hall '-P 4 2ab'
loop_
_atom_site_label
_atom_site_fract_x
_atom_site_fract_y
_atom_site_fract_z
_atom_site_occupancy
Re1 0.0000 0.0000 0.0000 1
Mo1 0.1722 0.3278 0.5000 1
Ir1 0.1251 0.6251 0.0000 1
# **Formation enthalpy at 0 K**: 0.38 eV/f.u.
# **Electronic total energy**: -102.898 eV for the cell shown

# TlNi2Cl8 PBE-GGA optimized geometry
data_TlNi2Cl8
_chemical_formula_sum 'Tl2 Ni4 Cl16'
_cell_length_a 9.5149
_cell_length_b 8.6857
_cell_length_c 8.2315
_cell_angle_alpha 90.00
_cell_angle_beta 92.09
_cell_angle_gamma 90.00
_symmetry_space_group_name_H-M 'C 1 2/m 1'
_symmetry_Int_Tables_number 12
loop_
_symmetry_equiv_pos_as_xyz
'x,y,z'
'-x,-y,-z'
'-x,y,-z'
'x,-y,z'
'x+1/2,y+1/2,z'
'-x+1/2,-y+1/2,-z'
'-x+1/2,y+1/2,-z'
'x+1/2,-y+1/2,z'
loop_
_atom_site_label
_atom_site_fract_x
_atom_site_fract_y
_atom_site_fract_z
_atom_site_occupancy
Tl1 0.0000 0.0000 0.0000 1
Ni1 0.1440 0.0000 0.3752 1
Cl1 0.1052 0.0000 0.6477 1
Cl2 0.1273 0.5000 0.5820 1
Cl3 0.1468 0.1901 0.1824 1
# **Electronic total energy**: -66.629 eV for the cell shown
# **Energy relative to the elements, uncorrected**: -0.419 eV per atom

# Ta2WAu PBE-GGA optimized geometry
data_Ta2WAu
_chemical_formula_sum 'Ta2 W1 Au1'
_cell_length_a 2.7876
_cell_length_b 4.1915
_cell_length_c 6.0165
_cell_angle_alpha 90.00
_cell_angle_beta 90.00
_cell_angle_gamma 90.00
_symmetry_space_group_name_H-M 'P m m m'
_symmetry_Int_Tables_number 47
loop_
_symmetry_equiv_pos_as_xyz
'x,y,z'
'-x,-y,-z'
'-x,-y,z'
'x,y,-z'
'x,-y,-z'
'-x,y,z'
'-x,y,-z'
'x,-y,z'
loop_
_atom_site_label
_atom_site_fract_x
_atom_site_fract_y
_atom_site_fract_z
_atom_site_occupancy
Ta1 0.0000 0.0000 0.2450 1
W1 0.5000 0.5000 0.0000 1
Au1 0.5000 0.5000 0.5000 1
# **Formation enthalpy at 0 K**: 0.51 eV/f.u.
# **Electronic total energy**: -39.421 eV for the cell shown

# Pm2Al4Ir3Pd PBE-GGA optimized geometry
data_Pm2Al4Ir3Pd
_chemical_formula_sum 'Pm2 Al4 Ir3 Pd1'
_cell_length_a 4.2476
_cell_length_b 4.2476
_cell_length_c 10.3665
_cell_angle_alpha 90.00
_cell_angle_beta 90.00
_cell_angle_gamma 90.00
_symmetry_space_group_name_H-M 'P -4 m 2'
_symmetry_Int_Tables_number 115
loop_
_symmetry_equiv_pos_as_xyz
'x,y,z'
'y,-x,-z'
'-x,-y,z'
'-y,x,-z'
'-x,y,z'
'-y,-x,-z'
'x,-y,z'
'y,x,-z'
loop_
_atom_site_label
_atom_site_fract_x
_atom_site_fract_y
_atom_site_fract_z
_atom_site_occupancy
Pm1 0.0000 0.5000 0.2479 1
Al1 0.0000 0.0000 0.5000 1
Al2 0.0000 0.5000 0.8751 1
Al3 0.5000 0.5000 0.5000 1
Ir1 0.0000 0.0000 0.0000 1
Ir2 0.0000 0.5000 0.6347 1
Pd1 0.5000 0.5000 0.0000 1
# **Formation enthalpy at 0 K**: -8.80 eV/f.u.
# **Electronic total energy**: -65.046 eV for the cell shown

# PuTlHg PBE-GGA optimized geometry
data_PuTlHg
_chemical_formula_sum 'Pu4 Tl4 Hg4'
_cell_length_a 5.3498
_cell_length_b 9.2655
_cell_length_c 6.5545
_cell_angle_alpha 90.00
_cell_angle_beta 90.00
_cell_angle_gamma 90.00
_symmetry_space_group_name_H-M 'C m c m'
_symmetry_Int_Tables_number 63
_symmetry_space_group_name_Hall '-C 2c 2'
loop_
_atom_site_label
_atom_site_fract_x
_atom_site_fract_y
_atom_site_fract_z
_atom_site_occupancy
Pu1 0.0000 0.1659 0.2500 1
Tl1 0.0000 0.5000 0.0000 1
Hg1 0.0000 0.1676 0.7500 1
# **Formation enthalpy at 0 K**: -0.12 eV/f.u.
# **Electronic total energy**: -68.474 eV for the cell shown